# 1
## Ca2Ac2Pr7 (PBE)

Data for crystalline Ca2Ac2Pr7 at its relaxed geometry. Values from VASP.

Calculated values
Formation energy, eV/atom: 0.16
Total magnetization, μB per cell: 0.000
ρ, g/cm3: 5.9

Quantum ESPRESSO input file:
```
&SYSTEM
  ibrav = 0, nat = 11, ntyp = 3
/
ATOMIC_SPECIES
Ca 40.08 Ca.upf
Ac 227.00 Ac.upf
Pr 140.91 Pr.upf
CELL_PARAMETERS angstrom
5.940 -6.073 0.000
5.940 6.073 0.000
-2.458 0.000 5.935
ATOMIC_POSITIONS angstrom
Ca 5.940 3.265 0.000
Ca 5.940 -3.265 0.000
Ac 2.499 0.000 0.555
Ac 6.923 0.000 5.380
Pr -1.229 0.000 2.968
Pr 3.056 3.263 2.026
Pr 6.366 3.263 3.910
Pr 3.265 0.000 4.086
Pr 6.157 0.000 1.849
Pr 3.056 -3.263 2.026
Pr 6.366 -3.263 3.910
```

=====

# 2
## CaAc2Pr9 (PBE)

Data for crystalline CaAc2Pr9 at its relaxed geometry. Values from VASP.

Calculated values
Formation energy, eV/atom: 0.11
Total magnetization, μB per cell: 0.000
ρ, g/cm3: 6.4

Quantum ESPRESSO input file:
```
&SYSTEM
  ibrav = 0, nat = 12, ntyp = 3
/
ATOMIC_SPECIES
Ca 40.08 Ca.upf
Ac 227.00 Ac.upf
Pr 140.91 Pr.upf
CELL_PARAMETERS angstrom
6.225 0.000 0.000
0.000 6.225 0.000
0.000 0.000 11.730
ATOMIC_POSITIONS angstrom
Ca 0.000 0.000 0.000
Ac 0.000 0.000 3.990
Ac 0.000 0.000 7.740
Pr 0.000 3.112 1.920
Pr 0.000 3.112 5.865
Pr 0.000 3.112 9.810
Pr 3.112 0.000 1.920
Pr 3.112 0.000 5.865
Pr 3.112 0.000 9.810
Pr 3.112 3.112 0.000
Pr 3.112 3.112 3.968
Pr 3.112 3.112 7.762
```

=====

# 3
## CaAc2Pr8 (PBE)

Data for crystalline CaAc2Pr8 at its relaxed geometry. Values from VASP.

Calculated values
Formation energy, eV/atom: 0.03
Total magnetization, μB per cell: 0.000
ρ, g/cm3: 6.4

Quantum ESPRESSO input file:
```
&SYSTEM
  ibrav = 0, nat = 11, ntyp = 3
/
ATOMIC_SPECIES
Ca 40.08 Ca.upf
Ac 227.00 Ac.upf
Pr 140.91 Pr.upf
CELL_PARAMETERS angstrom
9.833 -1.894 0.000
9.833 1.894 0.000
-0.717 0.000 11.298
ATOMIC_POSITIONS angstrom
Ca 0.000 0.000 0.000
Ac 5.160 0.000 4.051
Ac 13.789 0.000 7.247
Pr 1.404 0.000 5.067
Pr 2.943 0.000 10.337
Pr 6.534 0.000 9.223
Pr 8.734 0.000 3.142
Pr 10.215 0.000 8.156
Pr 12.416 0.000 2.074
Pr 16.007 0.000 0.961
Pr 17.545 0.000 6.231
```

=====

# 4
## Ca3Ac4Pr2 (PBE)

Data for crystalline Ca3Ac4Pr2 at its relaxed geometry. Values from VASP.

Calculated values
Formation energy, eV/atom: 0.07
Total magnetization, μB per cell: 0.000
Distance to the lowest polymorph of the same formula, meV/atom: 3.0
ρ, g/cm3: 5.8

Quantum ESPRESSO input file:
```
&SYSTEM
  ibrav = 0, nat = 9, ntyp = 3
/
ATOMIC_SPECIES
Ca 40.08 Ca.upf
Ac 227.00 Ac.upf
Pr 140.91 Pr.upf
CELL_PARAMETERS angstrom
9.557 -2.032 0.000
9.557 2.032 0.000
-2.306 0.000 9.735
ATOMIC_POSITIONS angstrom
Ca 0.000 0.000 0.000
Ca 1.055 0.000 6.142
Ca 15.754 0.000 3.593
Ac 3.103 0.000 2.781
Ac 7.444 0.000 6.588
Ac 9.365 0.000 3.147
Ac 13.706 0.000 6.954
Pr 6.265 0.000 0.452
Pr 10.544 0.000 9.283
```

=====

# 5
## Ca2Ac5Pr (PBE)

Data for crystalline Ca2Ac5Pr at its relaxed geometry. Values from VASP.

Calculated values
Formation energy, eV/atom: 0.03
Total magnetization, μB per cell: 0.000
ρ, g/cm3: 6.5

Quantum ESPRESSO input file:
```
&SYSTEM
  ibrav = 0, nat = 8, ntyp = 3
/
ATOMIC_SPECIES
Ca 40.08 Ca.upf
Ac 227.00 Ac.upf
Pr 140.91 Pr.upf
CELL_PARAMETERS angstrom
-2.795 2.795 11.082
2.795 -2.795 11.082
2.795 2.795 -11.082
ATOMIC_POSITIONS angstrom
Ca 0.000 0.000 5.533
Ca 0.000 0.000 16.632
Ac 0.000 0.000 0.000
Ac 2.795 0.000 2.689
Ac 2.795 0.000 8.394
Ac 0.000 2.795 2.689
Ac 0.000 2.795 8.394
Pr 0.000 0.000 11.082
```

=====

# 6
## CaAc2Pr (PBE)

Data for crystalline CaAc2Pr at its relaxed geometry. Values from VASP.

Calculated values
Formation energy, eV/atom: 0.02
Total magnetization, μB per cell: 0.000
Distance to the lowest polymorph of the same formula, meV/atom: 3.8
ρ, g/cm3: 6.3

Quantum ESPRESSO input file:
```
&SYSTEM
  ibrav = 0, nat = 4, ntyp = 3
/
ATOMIC_SPECIES
Ca 40.08 Ca.upf
Ac 227.00 Ac.upf
Pr 140.91 Pr.upf
CELL_PARAMETERS angstrom
1.954 1.128 12.730
-1.954 1.128 12.730
0.000 -2.256 12.730
ATOMIC_POSITIONS angstrom
Ca 0.000 0.000 0.000
Ac 0.000 0.000 9.439
Ac 0.000 0.000 16.030
Pr 0.000 0.000 31.831
```